A geometry-optimized CaSc3Cr structure, computed with PBE-GGA.

POSCAR file:
```
CaSc3Cr
1.0
-0.8239 -1.7531 4.6625
-1.8728 -4.2701 -1.9365
4.6157 -2.0455 0.0465
Sc Cr Ca
3 1 1
direct
0.0000 0.5000 0.0000 Sc
0.0000 0.0000 0.5000 Sc
0.5000 0.0000 0.0000 Sc
0.0000 0.0000 0.0000 Cr
0.5000 0.5000 0.5000 Ca
```

- Energy of formation from the pure elements: 6.67 kcal/mol of atoms
- Symmetry: Pm-3m
- Energy relative to the lowest polymorph listed for this composition: 0 meV/atom

=====

A geometry-optimized Ca4ScCr structure, computed with PBE-GGA.

POSCAR file:
```
Ca4ScCr
1.0
1.5622 -4.0623 -5.0489
3.5266 -5.5390 1.1475
-2.9184 -5.9723 -0.4981
Ca Sc Cr
4 1 1
direct
0.8760 0.3747 0.3747 Ca
0.3747 0.3747 0.8760 Ca
0.3747 0.8760 0.3747 Ca
0.3747 0.3747 0.3747 Ca
0.0000 0.0000 0.0000 Sc
0.7500 0.7500 0.7500 Cr
```

- Energy of formation from the pure elements: 16.59 kcal/mol of atoms
- Symmetry: F-43m

=====

A geometry-optimized CaScCr2 structure, computed with PBE-GGA.

POSCAR file:
```
CaScCr2
1.0
-1.8851 1.6034 2.0284
-2.8577 -3.2202 -0.1103
2.9029 -2.7428 4.8658
Sc Cr Ca
1 2 1
direct
0.5000 0.5000 0.2500 Sc
0.0000 0.0000 0.1020 Cr
0.0000 0.0000 0.3980 Cr
0.5000 0.5000 0.7500 Ca
```

- Energy of formation from the pure elements: 13.45 kcal/mol of atoms
- Symmetry: Pmmm
- Energy relative to the lowest polymorph listed for this composition: 248 meV/atom

=====

A geometry-optimized CaScCr2 structure, computed with PBE-GGA.

POSCAR file:
```
CaScCr2
1.0
-2.4200 -4.0157 1.3871
0.3302 -1.5816 4.6147
-3.8469 0.3760 2.9943
Sc Cr Ca
1 2 1
direct
0.2500 0.2500 0.2500 Sc
0.0000 0.0000 0.0000 Cr
0.7500 0.7500 0.7500 Cr
0.5000 0.5000 0.5000 Ca
```

- Energy of formation from the pure elements: 12.22 kcal/mol of atoms
- Symmetry: F-43m
- Energy relative to the lowest polymorph listed for this composition: 194 meV/atom